A plane-wave DFT calculation with PBE was carried out for a relaxed structure of AcNiSe3.

Cell lengths 4.8405, 4.8405, 4.8405 Å; angles 90.00, 90.00, 90.00 degrees
With the nearest neighbours (Å) after each atom.
Space group Pm-3m (No. 221)
Symmetry-distinct sites (fractional):
Ac: 0.0000 0.0000 0.0000 [1 per cell]  12 Se 3.42
Ni: 0.5000 0.5000 0.5000 [1 per cell]  6 Se 2.42
Se: 0.0000 0.5000 0.5000 [3 per cell]  2 Ni 2.42

DOS(E_F) ... 2.63 states/eV/f.u.
Density ... 7.7 g cm⁻³
Energy relative to the elements, uncorrected ... -0.998 eV/atom
Total DFT energy (no corrections) ... -25.33 eV/f.u.